! Sc4ZnCdC2 (PBE-GGA, optimized geometry); values from VASP
! density: 4.4 g/cm³
! DFT total energy: -6.144 eV/atom
! M_tot: 0.6 μB per formula unit
&SYSTEM
  ibrav = 0, nat = 8, ntyp = 4
/
ATOMIC_SPECIES
Sc 44.96 Sc.upf
Zn 65.41 Zn.upf
Cd 112.41 Cd.upf
C 12.01 C.upf
CELL_PARAMETERS angstrom
3.314 0.000 0.000
-1.657 2.870 0.000
0.000 0.000 15.089
ATOMIC_POSITIONS crystal
Sc 0.000 0.000 0.160
Sc 0.000 0.000 0.840
Sc 0.333 0.667 0.323
Sc 0.333 0.667 0.677
Zn 0.333 0.667 0.000
Cd 0.000 0.000 0.500
C 0.667 0.333 0.243
C 0.667 0.333 0.757